(1)
# YNb2Pt2

A relaxed YNb2Pt2 crystal (PBE, Alexandria via LeMat-Bulk).

ΔE_f: -541 meV per atom
energy: -8.278 eV per atom
ΔE to the lowest computed polymorph: 0.00 eV per formula unit

abc: 3.897 3.897 13.300
angles: 90.00 90.00 90.00
Sites, in units of the cell vectors:
Y 0.000 0.000 0.000
Y 0.500 0.500 0.500
Nb 0.000 0.500 0.250
Nb 0.000 0.500 0.750
Nb 0.500 0.000 0.250
Nb 0.500 0.000 0.750
Pt 0.000 0.000 0.400
Pt 0.000 0.000 0.600
Pt 0.500 0.500 0.100
Pt 0.500 0.500 0.900

=====

(2)
# YNb2Pt2

A relaxed YNb2Pt2 crystal (PBE, Alexandria via LeMat-Bulk).

ΔE_f: -428 meV per atom
energy: -8.165 eV per atom
ΔE to the lowest computed polymorph: 0.56 eV per formula unit

abc: 7.765 7.765 3.196
angles: 90.00 90.00 90.00
Sites, in units of the cell vectors:
Y 0.000 0.000 0.000
Y 0.500 0.500 0.000
Nb 0.171 0.329 0.500
Nb 0.329 0.829 0.500
Nb 0.671 0.171 0.500
Nb 0.829 0.671 0.500
Pt 0.125 0.625 0.000
Pt 0.375 0.125 0.000
Pt 0.625 0.875 0.000
Pt 0.875 0.375 0.000

=====

(3)
# YNb3Pt

A relaxed YNb3Pt crystal (PBE, Alexandria via LeMat-Bulk).

ΔE_f: 710 meV per atom
energy: -7.833 eV per atom
ΔE to the lowest computed polymorph: 0.00 eV per formula unit

abc: 4.975 4.975 4.975
angles: 90.00 90.00 90.00
Sites, in units of the cell vectors:
Y 0.000 0.000 0.000
Nb 0.000 0.500 0.500
Nb 0.500 0.000 0.500
Nb 0.500 0.500 0.000
Pt 0.500 0.500 0.500

=====

| no. | volume (Å³ per cell) |
| --- | --- |
| 1 | 202.00 |
| 2 | 192.74 |
| 3 | 123.12 |